[1]
First-principles (PBE) data for a geometry-optimized Pm4GaRhBr2 structure, as listed in the Alexandria database.

Cell: 7.567 4.044 7.965 Å, 90.00 107.74 90.00°
Atoms (fractional coordinates):
Pm 0.231 0.000 0.201
Pm 0.237 0.500 0.793
Pm 0.763 0.500 0.207
Pm 0.769 0.000 0.799
Ga 0.500 0.000 0.000
Rh 0.000 0.500 0.000
Br 0.000 0.000 0.500
Br 0.500 0.500 0.500

Summary:
Formation energy (no corrections), eV/atom: -0.9452
N(E_F), states/eV per atom: 0.7706


[2]
First-principles (PBE) data for a geometry-optimized Ge2AuI structure, as listed in the Alexandria database.

Cell: 7.731 7.731 7.731 Å, 32.72 32.72 32.72°
Atoms (fractional coordinates):
Ge 0.128 0.128 0.128
Ge 0.872 0.872 0.872
Au 0.500 0.500 0.500
I 0.000 0.000 0.000

Summary:
Formation energy (no corrections), eV/atom: -0.0107
N(E_F), states/eV per atom: 0.2503


[3]
First-principles (PBE) data for a geometry-optimized BMo2Rh structure, as listed in the Alexandria database.

Cell: 5.468 5.468 5.468 Å, 99.92 99.92 130.96°
Atoms (fractional coordinates):
B 0.000 0.000 0.000
B 0.750 0.250 0.500
Mo 0.034 0.625 0.909
Mo 0.375 0.284 0.409
Mo 0.716 0.125 0.091
Mo 0.875 0.966 0.591
Rh 0.250 0.750 0.500
Rh 0.500 0.500 0.000

Summary:
N(E_F), states/eV per atom: 1.0186
Energy relative to the elements, meV per atom: 229.1


[4]
First-principles (PBE) data for a geometry-optimized ScBe2Zn2 structure, as listed in the Alexandria database.

Cell: 7.260 7.260 2.525 Å, 90.00 90.00 90.00°
Atoms (fractional coordinates):
Sc 0.000 0.000 0.000
Sc 0.500 0.500 0.000
Be 0.166 0.334 0.500
Be 0.334 0.834 0.500
Be 0.666 0.166 0.500
Be 0.834 0.666 0.500
Zn 0.131 0.631 0.000
Zn 0.369 0.131 0.000
Zn 0.631 0.869 0.000
Zn 0.869 0.369 0.000

Summary:
N(E_F), states/eV per atom: 0.3179
Energy relative to the elements, meV per atom: 50.2